Entry 1:
First-principles (PBE) data for a relaxed La2In2H crystal, as listed in Alexandria.

Uncorrected energy (eV/atom): -4.022
Fermi-level density of states (states/eV/cell): 7.132

Structure (CIF):
```
data_La2In2H
_chemical_formula_sum 'La4 In4 H2'
_cell_length_a 6.969
_cell_length_b 6.969
_cell_length_c 5.604
_cell_angle_alpha 90.00
_cell_angle_beta 90.00
_cell_angle_gamma 90.00
_space_group_name_H-M_alt 'P 4/m b m'
_space_group_IT_number 127
_space_group_name_Hall '-P 4 2ab'
loop_
_atom_site_label
_atom_site_type_symbol
_atom_site_fract_x
_atom_site_fract_y
_atom_site_fract_z
_atom_site_occupancy
La1 La 0.164 0.336 0.000 1
In1 In 0.152 0.652 0.500 1
H1 H 0.000 0.000 0.000 1
```

---

Entry 2:
First-principles (PBE) data for a relaxed Er3Tm4Mg2 crystal, as listed in Alexandria.

Fermi-level density of states (states/eV/cell): 24.562
Energy relative to the elements (eV/atom): 0.013

Structure (CIF):
```
data_Er3Tm4Mg2
_chemical_formula_sum 'Er6 Tm8 Mg4'
_cell_length_a 14.605
_cell_length_b 4.853
_cell_length_c 7.751
_cell_angle_alpha 90.00
_cell_angle_beta 108.58
_cell_angle_gamma 90.00
_space_group_name_H-M_alt 'C 1 2/m 1'
_space_group_IT_number 12
loop_
_space_group_symop_operation_xyz
'x,y,z'
'-x,-y,-z'
'-x,y,-z'
'x,-y,z'
'x+1/2,y+1/2,z'
'-x+1/2,-y+1/2,-z'
'-x+1/2,y+1/2,-z'
'x+1/2,-y+1/2,z'
loop_
_atom_site_label
_atom_site_type_symbol
_atom_site_fract_x
_atom_site_fract_y
_atom_site_fract_z
_atom_site_occupancy
Er1 Er 0.000 0.000 0.000 1
Er2 Er 0.111 0.000 0.666 1
Tm1 Tm 0.056 0.500 0.335 1
Tm2 Tm 0.221 0.000 0.332 1
Mg1 Mg 0.169 0.500 0.000 1
```